Density functional theory data (GGA-PBE) for a geometry-optimized K2CaCo structure.

Lattice parameters (Å, degrees): 12.5848 12.5848 12.5848 18.42 18.42 18.42
Site moments in Bohr magnetons follow the coordinates.
Sites, in units of the cell vectors:
Ca 0.2500 0.2500 0.2500  0.01
K 0.0176 0.0176 0.0176  -0.01
Co 0.7500 0.7500 0.7500  2.04
K 0.4824 0.4824 0.4824  -0.01

Values from the calculation:
**DOS(E_F)**: 4.15 states/eV/cell
**Final energy**: -7.935 eV per formula unit
**ΔE_f**: 0.842 eV/atom
**Space group**: R-3m, No. 166
**Relative energy among the computed polymorphs**: 0.336 eV per atom